Arrangement i

## AgOsRu2Cl (PBE-GGA)

Data for crystalline AgOsRu2Cl at its relaxed geometry.

* DOS(E_F): 7.3 states/eV per cell

a b c (Å): 4.3308 4.5910 4.3308
angles (deg): 90.00 90.00 90.00
Last column: nearest neighbours and their distance in Å.
Atoms (fractional coordinates):
Ru  0.0000  0.0000  0.5000  2 Cl 2.17
Ru  0.5000  0.0000  0.0000  2 Cl 2.17
Ag  0.0000  0.5000  0.0000  2 Cl 2.30
Cl  0.0000  0.0000  0.0000  4 Ru 2.17, 2 Ag 2.30
Os  0.5000  0.5000  0.5000  4 Ag 3.06, 8 Ru 3.16



Arrangement ii

## AgOsRu2Cl (PBE-GGA)

Data for crystalline AgOsRu2Cl at its relaxed geometry.

* DOS(E_F): 7.8 states/eV per cell

a b c (Å): 4.3567 4.3700 4.3567
angles (deg): 90.00 90.00 90.00
Last column: nearest neighbours and their distance in Å.
Atoms (fractional coordinates):
Ag  0.5000  0.5000  0.5000  4 Os 3.08, 8 Ru 3.09
Cl  0.0000  0.0000  0.0000  4 Ru 2.18, 2 Os 2.19
Os  0.0000  0.5000  0.0000  2 Cl 2.19
Ru  0.5000  0.0000  0.0000  2 Cl 2.18
Ru  0.0000  0.0000  0.5000  2 Cl 2.18



We find arrangement ii to be the most stable, with the next structure 32.0 kJ/mol of atoms higher.



Arrangement i

## AgOsSCl2 (PBE-GGA)

Data for crystalline AgOsSCl2 at its relaxed geometry.

* DOS(E_F): 4.8 states/eV per cell

a b c (Å): 4.8470 4.8470 5.0725
angles (deg): 90.00 90.00 90.00
Last column: nearest neighbours and their distance in Å.
Atoms (fractional coordinates):
Cl  0.0000  0.5000  0.0000  2 Ag 2.42
Cl  0.5000  0.0000  0.0000  2 Ag 2.42
Os  0.5000  0.5000  0.5000  4 S 3.43, 8 Cl 3.51
Ag  0.0000  0.0000  0.0000  4 Cl 2.42, 2 S 2.54
S  0.0000  0.0000  0.5000  2 Ag 2.54



Arrangement ii

## AgOsSCl2 (PBE-GGA)

Data for crystalline AgOsSCl2 at its relaxed geometry.

* DOS(E_F): 2.3 states/eV per cell

a b c (Å): 5.0590 4.3638 5.0590
angles (deg): 90.00 90.00 90.00
Last column: nearest neighbours and their distance in Å.
Atoms (fractional coordinates):
Cl  0.5000  0.0000  0.0000  2 Os 2.53
Cl  0.0000  0.0000  0.5000  2 Os 2.53
Os  0.0000  0.0000  0.0000  2 S 2.18
Ag  0.5000  0.5000  0.5000  8 Cl 3.34, 4 S 3.58
S  0.0000  0.5000  0.0000  2 Os 2.18



We find arrangement ii to be the most stable, with the next structure 101.9 kJ/mol of atoms higher.



Arrangement i

## AgPCl2 (PBE-GGA)

Data for crystalline AgPCl2 at its relaxed geometry.

* DOS(E_F): 0.8 states/eV per cell

a b c (Å): 7.9076 7.9076 3.8516
angles (deg): 102.98 102.98 24.68
Last column: nearest neighbours and their distance in Å.
Atoms (fractional coordinates):
Cl  0.1019  0.1019  0.1120  1 P 2.23
Cl  0.3981  0.3981  0.3880  1 P 2.23
P  0.2500  0.2500  0.2500  2 Cl 2.23
Ag  0.7500  0.7500  0.7500  4 P 2.56



Arrangement ii

## AgPCl2 (PBE-GGA)

Data for crystalline AgPCl2 at its relaxed geometry.

* DOS(E_F): 3.6 states/eV per cell

a b c (Å): 4.8017 4.8017 4.8017
angles (deg): 60.00 60.00 60.00
Last column: nearest neighbours and their distance in Å.
Atoms (fractional coordinates):
Ag  0.5000  0.5000  0.5000  8 Cl 2.94
Cl  0.7500  0.7500  0.7500  4 P 2.94, 4 Ag 2.94
Cl  0.2500  0.2500  0.2500  4 Ag 2.94, 4 P 2.94
P  0.0000  0.0000  0.0000  8 Cl 2.94



We find arrangement i to be the most stable, with the next structure 58.8 kJ/mol of atoms higher.



Arrangement i

## AgPCl2 (PBE-GGA)

Data for crystalline AgPCl2 at its relaxed geometry.

* DOS(E_F): 1.0 states/eV per cell

a b c (Å): 3.0201 4.0371 8.1714
angles (deg): 90.00 90.00 90.00
Last column: nearest neighbours and their distance in Å.
Atoms (fractional coordinates):
Cl  0.0000  0.0000  0.9358  1 P 2.01
Cl  0.5000  0.5000  0.2837  1 Ag 2.51
Ag  0.5000  0.5000  0.5912  1 Cl 2.51, 4 P 2.65
P  0.0000  0.0000  0.6893  1 Cl 2.01



Arrangement ii

## AgPCl2 (PBE-GGA)

Data for crystalline AgPCl2 at its relaxed geometry.

* DOS(E_F): 2.4 states/eV per cell

a b c (Å): 8.5685 8.5685 8.5685
angles (deg): 22.26 22.26 22.26
Last column: nearest neighbours and their distance in Å.
Atoms (fractional coordinates):
P  0.2500  0.2500  0.2500  6 Cl 2.92
Cl  0.0051  0.0051  0.0051  3 Ag 2.74, 3 P 2.92
Cl  0.4949  0.4949  0.4949  3 Ag 2.74, 3 P 2.92
Ag  0.7500  0.7500  0.7500  6 Cl 2.74



We find arrangement i to be the most stable, with the next structure 43.2 kJ/mol of atoms higher.